[1]
This record from Alexandria describes crystalline YbWClO4 at its relaxed geometry. The functional is GGA+U.

Lattice parameters (Å, degrees): 6.2305 6.7899 7.1511 73.98 77.90 68.97
Space group P-1 (No. 2)
Asymmetric unit:
Yb (0.2336, 0.2802, 0.1494) x2
W (0.1293, 0.1425, 0.7391) x2
Cl (0.4895, 0.4793, 0.8142) x2
O (0.0317, 0.3710, 0.8631) x2
O (0.0614, 0.0210, 0.1918) x2
O (0.1499, 0.2439, 0.4775) x2
O (0.4155, 0.9838, 0.8054) x2

[2]
This record from Alexandria describes crystalline CsMn2InF8 at its relaxed geometry. The functional is GGA+U.

Lattice parameters (Å, degrees): 5.3763 5.3946 7.8061 78.91 79.61 78.72
Space group P-1 (No. 2)
Asymmetric unit:
Cs (0.0000, 0.0000, 0.0000) x1
Mn (0.4575, 0.4552, 0.2255) x2
In (0.0000, 0.0000, 0.5000) x1
F (0.1969, 0.7477, 0.6973) x2
F (0.2351, 0.7846, 0.3107) x2
F (0.2693, 0.2444, 0.4455) x2
F (0.3618, 0.3312, 0.0089) x2

One value per record, in order, for calculated total energy: -6.499 -5.398 eV/atom.